Compound: Ac7Si2Ge2
Source: the Alexandria database
Functional: GGA-PBE
Structure: optimized geometry

Cell and atoms, written as extended XYZ:
```
11
Lattice="7.4688 -0.0032 -0.4827 0.0031 7.5071 0.0035 -0.9471 -0.0028 7.4243" Properties=species:S:1:pos:R:3 pbc="T T T"
Ac 2.7923 5.4987 7.1837
Ac 0.0000 0.0000 0.0000
Ac 6.9942 1.9995 3.2330
Si 1.3411 -0.0027 5.2744
Ac 3.2651 5.6689 3.4716
Ac -0.4693 5.5017 3.7121
Si 5.1837 7.5039 1.6706
Ac 3.7325 2.0025 -0.2387
Ge 5.0913 3.7489 5.4192
Ac 3.2597 1.8323 3.4734
Ge 1.4335 3.7523 1.5259
```

SG: Cmmm
mass density: 7.2 g/cm3
raw formation energy: -0.236 eV per atom

---

Compound: Ac3SiGe3
Source: the Alexandria database
Functional: GGA-PBE
Structure: optimized geometry

Cell and atoms, written as extended XYZ:
```
14
Lattice="6.4426 0.0000 0.0000 0.0000 9.0659 0.0000 0.0000 -4.5329 7.8513" Properties=species:S:1:pos:R:3 pbc="T T T"
Ge 1.6107 6.9831 2.3147
Ge 1.6107 3.0460 0.6464
Ac 1.6107 0.9941 3.0058
Ge 4.8320 1.4869 7.2049
Ge 4.8320 -2.4501 5.5365
Ac 1.6107 1.4328 7.2093
Si 1.6107 4.5329 2.6171
Ac 1.6107 -2.4269 5.4875
Ac 4.8320 3.1001 0.6420
Si 4.8320 0.0000 5.2342
Ac 4.8320 3.5388 4.8455
Ge 4.8320 0.9632 2.9612
Ge 1.6107 3.5697 4.8901
Ac 4.8320 6.9599 2.3638
```

SG: P6_3/m
mass density: 6.7 g/cm3
raw formation energy: -0.511 eV per atom
energy relative to the lowest polymorph listed for this composition: 0.127 eV per atom

---

Compound: Ac5Si2Ge2
Source: the Alexandria database
Functional: GGA-PBE
Structure: optimized geometry

Cell and atoms, written as extended XYZ:
```
18
Lattice="8.1098 0.0000 0.0000 0.0000 8.5029 0.0000 -4.0549 -4.2514 8.7488" Properties=species:S:1:pos:R:3 pbc="T T T"
Ac 2.6327 3.0567 6.1523
Si 0.3515 4.5315 7.5853
Ac 5.6888 6.2092 1.0414
Ge 0.0000 8.0664 0.0000
Ge 4.0486 5.4963 4.3744
Si 3.7033 0.2801 7.5853
Ac -1.0837 4.2135 4.3744
Ac 1.4222 -1.1947 2.5965
Ac 1.4222 -1.1947 6.1523
Si 3.7033 0.2801 1.1635
Ac -2.4209 -2.2936 7.7074
Ac 5.1386 -0.0379 4.3744
Ge 0.0062 1.2449 4.3744
Si 0.3515 4.5315 1.1635
Ac 2.6327 3.0567 2.5965
Ac -1.6339 1.9578 7.7074
Ac 6.4758 1.9578 1.0414
Ge 4.0549 3.8150 0.0000
```

SG: Ima2
mass density: 7.4 g/cm3
raw formation energy: -0.449 eV per atom

---

Compound: Ac2SiGe3
Source: the Alexandria database
Functional: GGA-PBE
Structure: optimized geometry

Cell and atoms, written as extended XYZ:
```
6
Lattice="4.5097 0.0000 0.0000 0.0000 4.2618 0.0000 0.0000 0.0000 8.0706" Properties=species:S:1:pos:R:3 pbc="T T T"
Ge 2.2549 2.1309 5.2671
Ge 2.2549 0.0000 6.7554
Si 2.2549 2.1309 2.7059
Ac 0.0000 2.1309 0.0306
Ge 2.2549 0.0000 1.4174
Ac 0.0000 0.0000 4.0000
```

SG: Pmm2
mass density: 7.5 g/cm3
raw formation energy: -0.578 eV per atom
energy relative to the lowest polymorph listed for this composition: 0.004 eV per atom

---

Compound: Ac2Si3Ge5
Source: the Alexandria database
Functional: GGA-PBE
Structure: optimized geometry

Cell and atoms, written as extended XYZ:
```
20
Lattice="-0.2765 2.8471 5.6204 -8.9176 0.3763 2.9088 -2.7615 -6.1605 6.5230" Properties=species:S:1:pos:R:3 pbc="T T T"
Ge -3.1177 -0.0676 5.1881
Ac -5.9864 -0.1833 3.3365
Si -0.0691 0.7118 1.4051
Ge -6.0470 -0.7568 8.9311
Ge -9.7744 -4.0922 12.2064
Ac -3.0238 -2.0524 7.9671
Si -6.7317 -3.2142 8.3733
Si -5.2240 0.2771 6.6788
Ge -3.2559 1.3559 7.9983
Si -8.1620 -0.4186 10.4249
Si -0.2074 2.1353 4.2153
Ge -0.9142 1.0864 6.4809
Ac -5.9692 -2.7538 11.7156
Ge -11.0415 -4.0234 8.5712
Si -3.7936 -2.5184 4.6272
Ge -2.1813 1.1551 2.8457
Ge -8.6997 -4.2930 7.0539
Ge -5.9087 -2.1803 6.1210
Ge -8.8380 -2.8694 9.8640
Ac -8.9319 -0.8847 7.0849
```

SG: Ibam
mass density: 6.6 g/cm3
raw formation energy: -0.193 eV per atom

---

Compound: Ac5Si2Ge5
Source: the Alexandria database
Functional: GGA-PBE
Structure: optimized geometry

Cell and atoms, written as extended XYZ:
```
12
Lattice="4.3700 0.0000 0.0000 -2.1850 7.7332 -1.6418 0.0000 -6.4045 11.2239" Properties=species:S:1:pos:R:3 pbc="T T T"
Si 2.1850 3.9845 1.4671
Ac 2.1850 -4.2237 10.0030
Ge 2.1850 2.7059 5.7629
Ge 0.0000 2.6007 1.2670
Ge 2.1850 -1.2720 8.3151
Ac 0.0000 0.3363 6.5566
Si 0.0000 -2.6559 8.1150
Ge 0.0000 0.0000 0.0000
Ac 2.1850 -3.2022 5.6119
Ge 0.0000 -1.3772 3.8191
Ac 2.1850 0.9923 3.0254
Ac 0.0000 5.5524 -0.4210
```

SG: C2/m
mass density: 7.7 g/cm3
raw formation energy: -0.638 eV per atom

---

Compound: Ac2SiGe2
Source: the Alexandria database
Functional: GGA-PBE
Structure: optimized geometry

Cell and atoms, written as extended XYZ:
```
10
Lattice="-4.1594 -0.5798 1.6000 0.0598 -0.6163 6.2435 -2.4628 9.8783 3.4886" Properties=species:S:1:pos:R:3 pbc="T T T"
Si -4.0045 6.3931 4.5292
Ge -4.9433 3.0963 7.2054
Ac -0.5884 0.4853 4.9576
Ge -4.7556 7.5931 9.3228
Ac -5.9739 8.1970 6.3744
Ac -3.7925 3.0167 3.8568
Ge -1.8067 1.0892 2.0093
Si -2.5578 2.2892 6.8029
Ac -2.7698 5.6656 7.4753
Ge -1.6190 5.5860 4.1267
```

SG: C2/m
mass density: 7.6 g/cm3
raw formation energy: -0.631 eV per atom

---

Compound: Ac10Si3Ge3
Source: the Alexandria database
Functional: GGA-PBE
Structure: optimized geometry

Cell and atoms, written as extended XYZ:
```
16
Lattice="-4.3549 -5.1196 2.8493 -3.6588 -1.5712 -8.4153 7.4714 -4.7986 2.7972" Properties=species:S:1:pos:R:3 pbc="T T T"
Ac 1.8585 -1.1937 0.6958
Ac 3.4506 -6.1745 3.5317
Si 0.7803 -4.4594 2.5320
Ge 1.5062 -2.5164 -2.2195
Si -3.6259 -3.1818 -1.9067
Ge 4.5197 -2.9029 1.6922
Si 0.1258 -6.4080 -1.9694
Ac -1.0541 -3.9465 -3.9546
Ac 2.6559 -5.0223 -0.2171
Ac -4.9335 -3.7433 -4.9144
Ac -0.9101 -0.3908 -2.0933
Ac 2.8642 -4.7853 -4.2206
Ac -1.2368 -4.1313 0.0386
Ac 0.5118 -7.5429 1.1858
Ac -3.1983 -6.4671 -2.5517
Ge -2.2133 -0.9505 -5.0907
```

SG: P-62m
mass density: 7.8 g/cm3
raw formation energy: -0.499 eV per atom

---

Compound: Ac4SiGe3
Source: the Alexandria database
Functional: GGA-PBE
Structure: optimized geometry

Cell and atoms, written as extended XYZ:
```
8
Lattice="4.7744 0.0000 0.0000 0.0000 4.2464 0.0000 0.0000 0.0000 11.7545" Properties=species:S:1:pos:R:3 pbc="T T T"
Ac 2.3872 2.1232 4.2086
Ac 0.0000 0.0000 1.6349
Ac 2.3872 0.0000 7.5220
Si 2.3872 2.1232 0.8272
Ge 0.0000 2.1232 6.7481
Ac 0.0000 2.1232 10.1317
Ge 2.3872 0.0000 10.9380
Ge 0.0000 0.0000 5.0075
```

SG: Pmm2
mass density: 8.0 g/cm3
raw formation energy: -0.663 eV per atom

---

Compound: Ac2Si2Ge3
Source: the Alexandria database
Functional: GGA-PBE
Structure: optimized geometry

Cell and atoms, written as extended XYZ:
```
7
Lattice="-1.8285 -3.5947 -0.9402 5.1720 -1.1301 3.3824 -3.8289 0.4312 5.7976" Properties=species:S:1:pos:R:3 pbc="T T T"
Si -1.6064 -0.2177 3.9563
Ge -2.8387 -2.2183 4.8818
Si 1.1209 -4.0759 4.2835
Ge 0.0000 0.0000 0.0000
Ac 0.1912 -1.7430 6.2921
Ge 2.3533 -2.0753 3.3580
Ac -0.6766 -2.5506 1.9478
```

SG: C2/m
mass density: 7.1 g/cm3
raw formation energy: -0.480 eV per atom